The following is a GGA+U calculation of a relaxed CoPtRhO6 crystal, from Alexandria.

## Properties
Spin magnetization: 4.1 μB/f.u.
Space-group type: P-31c, No. 163
E: -5.919 eV/atom
V: 196 Å³ per cell

Cell lengths 5.149, 5.149, 8.545 Å; angles 90.00, 90.00, 120.00 degrees
Fractional positions:
O  0.998  0.346  0.124
O  0.652  0.998  0.876
O  0.348  0.002  0.124
O  0.002  0.654  0.876
O  0.652  0.654  0.624
O  0.002  0.348  0.624
O  0.654  0.652  0.124
O  0.346  0.348  0.876
O  0.654  0.002  0.376
O  0.998  0.652  0.376
O  0.346  0.998  0.624
O  0.348  0.346  0.376
Co  0.000  0.000  0.500
Co  0.000  0.000  0.000
Pt  0.333  0.667  0.250
Pt  0.667  0.333  0.750
Rh  0.667  0.333  0.250
Rh  0.333  0.667  0.750